The following is a DFT calculation (PBE-GGA) of Sr4LiAg after structural relaxation.

Lattice parameters (Å, degrees): 9.3339 9.3339 7.2148 106.09 106.09 111.75
Positions (direct):
1 Sr 0.0575 0.7053 0.9112
2 Sr 0.2250 0.3588 0.7048
3 Sr 0.2947 0.9425 0.5888
4 Sr 0.3588 0.2250 0.2048
5 Sr 0.6412 0.7750 0.7952
6 Sr 0.7053 0.0575 0.4112
7 Sr 0.7750 0.6412 0.2952
8 Sr 0.9425 0.2947 0.0888
9 Li 0.3681 0.6319 0.2500
10 Li 0.6319 0.3681 0.7500
11 Ag 0.0003 0.9997 0.2500
12 Ag 0.9997 0.0003 0.7500

Summary:
Space group   C2/c
Energy of formation from the pure elements   -0.42 eV per formula unit
Crystal system   monoclinic
Final energy   -1.986 eV per atom
Density of states at the Fermi level   5.39 states/eV/f.u.
E above lowest polymorph   6 kJ/mol of formula units



The following is a DFT calculation (PBE-GGA) of CeEr2Cd after structural relaxation.

Lattice parameters (Å, degrees): 4.8617 4.8617 4.7290 90.00 90.00 90.00
Positions (direct):
1 Ce 0.0000 0.0000 0.0000
2 Er 0.0000 0.5000 0.5000
3 Er 0.5000 0.0000 0.5000
4 Cd 0.5000 0.5000 0.0000

Summary:
Space group   P4/mmm
Energy of formation from the pure elements   -0.15 eV per formula unit
Crystal system   tetragonal
Final energy   -4.031 eV per atom
Density of states at the Fermi level   7.07 states/eV/f.u.
E above lowest polymorph   27 kJ/mol of formula units



Which of these has the lowest density of states at the Fermi level? Sr4LiAg